Density functional theory data (PBE with a Hubbard U) for a geometry-optimized Pm2CrPtO8 structure.

Computed properties:
Space group = P-1
Total magnetic moment = 0.00 μB/f.u.
Total DFT energy (no corrections) = -84.69 eV per cell
Fermi-level density of states = 0.259 states/eV/atom

Cell lengths 5.8627, 4.1400, 6.3238 Å; angles 89.59, 91.06, 101.42 degrees
Positions (direct):
O  0.1403  0.8047  0.7505
O  0.3107  0.2262  0.4576
O  0.3346  0.2286  0.0522
O  0.6893  0.7738  0.5424
O  0.9505  0.2763  0.7443
O  0.6654  0.7714  0.9478
O  0.8597  0.1953  0.2495
O  0.0495  0.7237  0.2557
Cr  0.0000  0.0000  0.5000
Pm  0.5508  0.2609  0.7505
Pm  0.4492  0.7391  0.2495
Pt  0.0000  0.0000  0.0000